Entry 1:
# Sm2PaPt3

An optimized crystal structure of Sm2PaPt3 (PBE, Alexandria).

Lattice parameters (Å, degrees): 13.6379 13.0048 7.1576 79.36 69.59 31.05
Last column: nearest neighbours and their distance in Å.
Positions (direct):
Sm 0.0424 0.0424 0.2076  6 Pt 2.92-3.01
Sm 0.1250 0.1250 0.6250  6 Pt 2.92-3.01
Sm 0.2076 0.2076 0.0424  6 Pt 2.92-3.01
Sm 0.3750 0.3750 0.8750  6 Pt 2.92-3.01
Sm 0.6250 0.6250 0.1250  6 Pt 2.92-3.01
Sm 0.7924 0.7924 0.9576  6 Pt 2.92-3.01
Sm 0.8750 0.8750 0.3750  6 Pt 2.92-3.01
Sm 0.9576 0.9576 0.7924  6 Pt 2.92-3.01
Pa 0.2913 0.2913 0.4587  6 Pt 2.82-2.83
Pa 0.4587 0.4587 0.2913  6 Pt 2.82-2.83
Pa 0.5413 0.5413 0.7087  6 Pt 2.82-2.83
Pa 0.7087 0.7087 0.5413  6 Pt 2.82-2.83
Pt 0.0395 0.5377 0.2255  2 Pa 2.82-2.83, 4 Sm 2.92-3.01
Pt 0.1417 0.6083 0.6083  2 Pa 2.83, 4 Sm 2.92-3.01
Pt 0.2255 0.6973 0.0395  2 Pa 2.82-2.83, 4 Sm 2.92-3.01
Pt 0.3027 0.7745 0.4623  2 Pa 2.82-2.83, 4 Sm 2.92-3.01
Pt 0.3917 0.8583 0.8583  2 Pa 2.83, 4 Sm 2.92-3.01
Pt 0.4623 0.9605 0.3027  2 Pa 2.82-2.83, 4 Sm 2.92-3.01
Pt 0.5377 0.0395 0.6973  2 Pa 2.82-2.83, 4 Sm 2.92-3.01
Pt 0.6083 0.1417 0.1417  2 Pa 2.83, 4 Sm 2.92-3.01
Pt 0.6973 0.2255 0.5377  2 Pa 2.82-2.83, 4 Sm 2.92-3.01
Pt 0.7745 0.3027 0.9605  2 Pa 2.82-2.83, 4 Sm 2.92-3.01
Pt 0.8583 0.3917 0.3917  2 Pa 2.83, 4 Sm 2.92-3.01
Pt 0.9605 0.4623 0.7745  2 Pa 2.82-2.83, 4 Sm 2.92-3.01

ΔE_f ... -6.3 eV/f.u.
SG ... No. 70
Size of the total moment ... 0.00 μB/cell
V ... 24.85 Å³/atom

Entry 2:
# Y2Sb2Os

An optimized crystal structure of Y2Sb2Os (PBE, Alexandria).

Lattice parameters (Å, degrees): 6.9766 6.9766 4.8170 90.00 90.00 90.00
Last column: nearest neighbours and their distance in Å.
Positions (direct):
Y 0.1719 0.3281 0.0000  6 Sb 3.00-3.29
Y 0.3281 0.8281 0.0000  6 Sb 3.00-3.29
Y 0.6719 0.1719 0.0000  6 Sb 3.00-3.29
Y 0.8281 0.6719 0.0000  6 Sb 3.00-3.29
Sb 0.1475 0.6475 0.5000  2 Os 2.67, 1 Sb 2.91
Sb 0.3525 0.1475 0.5000  2 Os 2.67, 1 Sb 2.91
Sb 0.6475 0.8525 0.5000  2 Os 2.67, 1 Sb 2.91
Sb 0.8525 0.3525 0.5000  2 Os 2.67, 1 Sb 2.91
Os 0.0000 0.0000 0.5000  4 Sb 2.67
Os 0.5000 0.5000 0.5000  4 Sb 2.67

SG ... No. 127
Formation energy from raw total energies ... -2.44 eV/f.u.
Size of the total moment ... 0.00 μB/cell
V ... 23.45 Å³/atom

Entry 3:
# SrZn2AsO6

An optimized crystal structure of SrZn2AsO6 (PBE, Alexandria).

Lattice parameters (Å, degrees): 7.2554 7.2554 6.7200 112.18 112.18 83.58
Last column: nearest neighbours and their distance in Å.
Positions (direct):
Sr 0.1848 0.8152 0.7500  6 O 2.49-2.75
Sr 0.8152 0.1848 0.2500  6 O 2.49-2.75
Zn 0.2820 0.3786 0.8848  4 O 1.93-2.04
Zn 0.3786 0.2820 0.3848  4 O 1.93-2.04
Zn 0.6214 0.7180 0.6152  4 O 1.93-2.04
Zn 0.7180 0.6214 0.1152  4 O 1.93-2.04
As 0.1662 0.8338 0.2500  4 O 1.71-1.73
As 0.8338 0.1662 0.7500  4 O 1.71-1.73
O 0.0519 0.1730 0.7037  1 As 1.73
O 0.1646 0.6461 0.0019  1 As 1.71
O 0.1730 0.0519 0.2037  1 As 1.73
O 0.2922 0.4482 0.6321  2 Zn 1.93-1.97
O 0.3539 0.8354 0.4981  1 As 1.71
O 0.4482 0.2922 0.1321  2 Zn 1.93-1.97
O 0.5518 0.7078 0.8679  2 Zn 1.93-1.97
O 0.6461 0.1646 0.5019  1 As 1.71
O 0.7078 0.5518 0.3679  2 Zn 1.93-1.97
O 0.8270 0.9481 0.7963  1 As 1.73
O 0.8354 0.3539 0.9981  1 As 1.71
O 0.9481 0.8270 0.2963  1 As 1.73

SG ... No. 15
Formation energy from raw total energies ... -15.58 eV/f.u.
Size of the total moment ... 2.04 μB/cell
V ... 15.16 Å³/atom

Entry 4:
# BeNiI2N

An optimized crystal structure of BeNiI2N (PBE, Alexandria).

Lattice parameters (Å, degrees): 5.4518 5.4518 3.1588 90.00 90.00 90.00
Last column: nearest neighbours and their distance in Å.
Positions (direct):
Be 0.0000 0.0000 0.0000  2 N 1.58
Ni 0.5000 0.5000 0.5000  8 I 3.15, 2 Ni 3.16
I 0.0000 0.5000 0.0000  2 Be 2.73
I 0.5000 0.0000 0.0000  2 Be 2.73
N 0.0000 0.0000 0.5000  2 Be 1.58

SG ... No. 123
Formation energy from raw total energies ... 3.62 eV/f.u.
Size of the total moment ... 1.10 μB/cell
V ... 18.78 Å³/atom

Entry 5:
# Th2SiAg

An optimized crystal structure of Th2SiAg (PBE, Alexandria).

Lattice parameters (Å, degrees): 6.1414 4.1831 8.5512 90.00 110.92 90.00
Last column: nearest neighbours and their distance in Å.
Positions (direct):
Th 0.2137 0.2500 0.4278  3 Si 3.09-3.34, 4 Ag 3.13-3.34
Th 0.2760 0.7500 0.0773  4 Si 3.07-3.42, 3 Ag 3.13-3.25
Th 0.7240 0.2500 0.9227  4 Si 3.07-3.42, 3 Ag 3.13-3.25
Th 0.7863 0.7500 0.5722  3 Si 3.09-3.34, 4 Ag 3.13-3.34
Si 0.1292 0.2500 0.7927  2 Ag 2.69
Si 0.8708 0.7500 0.2073  2 Ag 2.69
Ag 0.3508 0.7500 0.7194  2 Si 2.69
Ag 0.6492 0.2500 0.2806  2 Si 2.69

SG ... No. 11
Formation energy from raw total energies ... -1.40 eV/f.u.
Size of the total moment ... 0.00 μB/cell
V ... 25.65 Å³/atom

Entry 6:
# MnMo2WN

An optimized crystal structure of MnMo2WN (PBE, Alexandria).

Lattice parameters (Å, degrees): 4.1664 4.1664 3.7806 90.00 90.00 90.00
Last column: nearest neighbours and their distance in Å.
Positions (direct):
Mn 0.0000 0.0000 0.0000  2 N 1.89
Mo 0.0000 0.5000 0.5000  2 N 2.08
Mo 0.5000 0.0000 0.5000  2 N 2.08
W 0.5000 0.5000 0.0000  8 Mo 2.81, 4 Mn 2.95
N 0.0000 0.0000 0.5000  2 Mn 1.89, 4 Mo 2.08

SG ... No. 123
Formation energy from raw total energies ... -0.34 eV/f.u.
Size of the total moment ... 1.51 μB/cell
V ... 13.13 Å³/atom

Entry 7:
# Ba8HgPtAu2

An optimized crystal structure of Ba8HgPtAu2 (PBE, Alexandria).

Lattice parameters (Å, degrees): 7.6693 9.8598 7.9416 90.00 90.51 90.00
Last column: nearest neighbours and their distance in Å.
Positions (direct):
Ba 0.2206 0.0000 0.3318  2 Au 3.31, 1 Hg 3.41
Ba 0.2348 0.5000 0.3147  1 Pt 3.24, 2 Au 3.37
Ba 0.2758 0.2703 0.8250  1 Pt 3.16, 1 Au 3.33, 1 Hg 3.46
Ba 0.2758 0.7297 0.8250  1 Pt 3.16, 1 Au 3.33, 1 Hg 3.46
Ba 0.7242 0.2703 0.1750  1 Pt 3.16, 1 Au 3.33, 1 Hg 3.46
Ba 0.7242 0.7297 0.1750  1 Pt 3.16, 1 Au 3.33, 1 Hg 3.46
Ba 0.7652 0.5000 0.6853  1 Pt 3.24, 2 Au 3.37
Ba 0.7794 0.0000 0.6682  2 Au 3.31, 1 Hg 3.41
Hg 0.5000 0.0000 0.0000  6 Ba 3.41-3.46
Pt 0.5000 0.5000 0.0000  6 Ba 3.16-3.24
Au 0.0000 0.2541 0.5000  6 Ba 3.31-3.37
Au 0.0000 0.7459 0.5000  6 Ba 3.31-3.37

ΔE_f ... -6.0 eV/f.u.
SG ... No. 10
Size of the total moment ... 0.00 μB/cell
V ... 50.04 Å³/atom

Entry 8:
# K2Na7Pb2

An optimized crystal structure of K2Na7Pb2 (PBE, Alexandria).

Lattice parameters (Å, degrees): 8.1118 8.1118 7.0873 109.06 109.06 81.45
Last column: nearest neighbours and their distance in Å.
Positions (direct):
K 0.1824 0.8176 0.0000  6 Na 3.56-3.81, 1 K 3.86, 2 Pb 3.91
K 0.8176 0.1824 0.0000  6 Na 3.56-3.81, 1 K 3.86, 2 Pb 3.91
Na 0.0000 0.0000 0.5000  2 Pb 3.26, 4 Na 3.65
Na 0.1011 0.5339 0.2939  2 Pb 3.31-3.32, 1 K 3.56, 2 Na 3.61-3.65
Na 0.4473 0.4473 0.7284  2 Pb 3.22-3.43, 1 Na 3.49
Na 0.4661 0.8989 0.7061  2 Pb 3.31-3.32, 1 K 3.56, 2 Na 3.61-3.65
Na 0.5339 0.1011 0.2939  2 Pb 3.31-3.32, 1 K 3.56, 2 Na 3.61-3.65
Na 0.5527 0.5527 0.2716  2 Pb 3.22-3.43, 1 Na 3.49
Na 0.8989 0.4661 0.7061  2 Pb 3.31-3.32, 1 K 3.56, 2 Na 3.61-3.65
Pb 0.2539 0.2539 0.9222  7 Na 3.22-3.43
Pb 0.7461 0.7461 0.0778  7 Na 3.22-3.43

ΔE_f ... -0.7 eV/f.u.
SG ... No. 12
Size of the total moment ... 0.00 μB/cell
V ... 37.83 Å³/atom

Entry 9:
# Zr2ZnBr

An optimized crystal structure of Zr2ZnBr (PBE, Alexandria).

Lattice parameters (Å, degrees): 9.9424 9.9424 9.9424 19.70 19.70 19.70
Last column: nearest neighbours and their distance in Å.
Positions (direct):
Zr 0.0000 0.0000 0.0000  3 Zn 2.91, 3 Zr 3.10
Zr 0.2511 0.2511 0.2511  3 Br 2.78, 3 Zr 3.10
Zn 0.7401 0.7401 0.7401  3 Zr 2.91
Br 0.5172 0.5172 0.5172  3 Zr 2.78

SG ... No. 160
Formation energy from raw total energies ... -1.19 eV/f.u.
Size of the total moment ... 0.00 μB/cell
V ... 24.41 Å³/atom

Entry 10:
# YFe2Br8

An optimized crystal structure of YFe2Br8 (PBE, Alexandria).

Lattice parameters (Å, degrees): 8.2075 8.2075 6.5652 93.35 93.35 77.95
Last column: nearest neighbours and their distance in Å.
Positions (direct):
Y 0.0000 0.0000 0.0000  6 Br 2.81-2.86
Fe 0.1941 0.1941 0.6438  4 Br 2.29-2.45
Fe 0.8059 0.8059 0.3562  4 Br 2.29-2.45
Br 0.0885 0.7165 0.2343  1 Fe 2.45
Br 0.1855 0.1855 0.2729  1 Fe 2.43
Br 0.2835 0.9115 0.7657  1 Fe 2.45
Br 0.3667 0.3667 0.7695  1 Fe 2.29
Br 0.6333 0.6333 0.2305  1 Fe 2.29
Br 0.7165 0.0885 0.2343  1 Fe 2.45
Br 0.8145 0.8145 0.7271  1 Fe 2.43
Br 0.9115 0.2835 0.7657  1 Fe 2.45

SG ... No. 12
Formation energy from raw total energies ... -10.50 eV/f.u.
Size of the total moment ... 9.00 μB/cell
V ... 39.21 Å³/atom

Entry 11:
# ZrCr2Br

An optimized crystal structure of ZrCr2Br (PBE, Alexandria).

Lattice parameters (Å, degrees): 3.1128 7.6473 7.6473 23.68 90.00 90.00
Last column: nearest neighbours and their distance in Å.
Positions (direct):
Zr 0.0000 0.0000 0.0000  5 Cr 2.88-3.04, 4 Br 2.99, 4 Zr 3.11-3.14
Cr 0.0000 0.2028 0.2028  4 Cr 2.51
Cr 0.5000 0.6239 0.6239  4 Cr 2.51
Br 0.5000 0.3660 0.3660  2 Cr 2.90, 4 Zr 2.99, 4 Br 3.11-3.14

SG ... No. 38
Formation energy from raw total energies ... 0.28 eV/f.u.
Size of the total moment ... 0.97 μB/cell
V ... 18.28 Å³/atom

Entry 12:
# NdTl2Cd2Se4

An optimized crystal structure of NdTl2Cd2Se4 (PBE, Alexandria).

Lattice parameters (Å, degrees): 8.6266 8.6266 8.1342 113.43 113.43 28.89
Last column: nearest neighbours and their distance in Å.
Positions (direct):
Nd 0.0000 0.0000 0.0000  6 Se 2.99-3.02
Tl 0.1246 0.1246 0.5527  7 Se 3.27-3.62, 1 Cd 3.63
Tl 0.8754 0.8754 0.4473  7 Se 3.27-3.62, 1 Cd 3.63
Cd 0.3124 0.3124 0.9854  3 Se 2.69-2.76
Cd 0.6876 0.6876 0.0146  3 Se 2.69-2.76
Se 0.1951 0.1951 0.2324  2 Cd 2.76, 1 Nd 3.02
Se 0.4795 0.4795 0.2349  1 Cd 2.69, 2 Nd 2.99
Se 0.5205 0.5205 0.7651  1 Cd 2.69, 2 Nd 2.99
Se 0.8049 0.8049 0.7676  2 Cd 2.76, 1 Nd 3.02

SG ... No. 12
Formation energy from raw total energies ... -6.90 eV/f.u.
Size of the total moment ... 0.00 μB/cell
V ... 29.63 Å³/atom

Q: size of the total moment of number 3 (SrZn2AsO6)?
A: 2.04 μB/cell